No. 1
The following is a PBE calculation of NaPuGa2O6 after structural relaxation, from the Alexandria database.

a b c (Å): 7.126 7.126 5.451
angles (deg): 97.27 97.27 88.21
Fractional coordinates of all 20 atoms:
Na  0.079  0.921  0.750
Na  0.921  0.079  0.250
Pu  0.280  0.720  0.250
Pu  0.720  0.280  0.750
Ga  0.211  0.390  0.704
Ga  0.390  0.211  0.204
Ga  0.610  0.789  0.796
Ga  0.789  0.610  0.296
O  0.004  0.239  0.645
O  0.168  0.618  0.902
O  0.239  0.004  0.145
O  0.288  0.424  0.393
O  0.382  0.832  0.598
O  0.424  0.288  0.893
O  0.576  0.712  0.107
O  0.618  0.168  0.402
O  0.712  0.576  0.607
O  0.761  0.996  0.855
O  0.832  0.382  0.098
O  0.996  0.761  0.355

Formation energy (no corrections) (eV per atom): -2.138
Symmetry: C2/c
Energy (eV/atom): -7.283
M_tot (μB per cell): 6.000


No. 2
The following is a PBE calculation of Na2GaRh2O6 after structural relaxation, from the Alexandria database.

a b c (Å): 5.216 5.216 5.761
angles (deg): 98.86 98.86 117.78
Fractional coordinates of all 11 atoms:
Na  0.175  0.825  0.000
Na  0.825  0.175  0.000
Ga  0.000  0.000  0.500
Rh  0.340  0.660  0.500
Rh  0.660  0.340  0.500
O  0.055  0.394  0.687
O  0.247  0.247  0.298
O  0.394  0.055  0.687
O  0.606  0.945  0.313
O  0.753  0.753  0.702
O  0.945  0.606  0.313

Formation energy (no corrections) (eV per atom): -1.283
Symmetry: C2/m
Energy (eV/atom): -5.839
M_tot (μB per cell): 1.062


No. 3
The following is a PBE calculation of Na3Ga2RhO6 after structural relaxation, from the Alexandria database.

a b c (Å): 5.315 5.315 5.629
angles (deg): 99.05 99.05 119.98
Fractional coordinates of all 12 atoms:
Na  0.000  0.000  0.000
Na  0.337  0.663  0.000
Na  0.663  0.337  0.000
Ga  0.167  0.833  0.500
Ga  0.833  0.167  0.500
Rh  0.500  0.500  0.500
O  0.094  0.434  0.301
O  0.226  0.226  0.699
O  0.434  0.094  0.301
O  0.566  0.906  0.699
O  0.774  0.774  0.301
O  0.906  0.566  0.699

Formation energy (no corrections) (eV per atom): -1.596
Symmetry: C2/m
Energy (eV/atom): -5.522
M_tot (μB per cell): 0.000


No. 4
The following is a PBE calculation of Na3Ga3RhO8 after structural relaxation, from the Alexandria database.

a b c (Å): 6.479 6.479 6.479
angles (deg): 55.76 55.76 55.76
Fractional coordinates of all 15 atoms:
Na  0.000  0.500  0.500
Na  0.500  0.000  0.500
Na  0.500  0.500  0.000
Ga  0.000  0.000  0.500
Ga  0.000  0.500  0.000
Ga  0.500  0.000  0.000
Rh  0.500  0.500  0.500
O  0.232  0.232  0.232
O  0.232  0.730  0.730
O  0.270  0.270  0.768
O  0.270  0.768  0.270
O  0.730  0.232  0.730
O  0.730  0.730  0.232
O  0.768  0.270  0.270
O  0.768  0.768  0.768

Formation energy (no corrections) (eV per atom): -1.595
Symmetry: R-3m
Energy (eV/atom): -5.599
M_tot (μB per cell): 1.046


No. 5
The following is a PBE calculation of Na3GaRh2O6 after structural relaxation, from the Alexandria database.

a b c (Å): 5.404 5.404 5.562
angles (deg): 99.31 99.31 119.98
Fractional coordinates of all 12 atoms:
Na  0.000  0.000  0.000
Na  0.330  0.670  0.000
Na  0.670  0.330  0.000
Ga  0.500  0.500  0.500
Rh  0.167  0.833  0.500
Rh  0.833  0.167  0.500
O  0.105  0.434  0.301
O  0.238  0.238  0.700
O  0.434  0.105  0.301
O  0.566  0.895  0.699
O  0.762  0.762  0.300
O  0.895  0.566  0.699

Formation energy (no corrections) (eV per atom): -1.361
Symmetry: C2/m
Energy (eV/atom): -5.647
M_tot (μB per cell): 0.000


No. 6
The following is a PBE calculation of Na3GaRh3O8 after structural relaxation, from the Alexandria database.

a b c (Å): 6.462 6.462 6.462
angles (deg): 57.05 57.05 57.05
Fractional coordinates of all 15 atoms:
Na  0.000  0.500  0.500
Na  0.500  0.000  0.500
Na  0.500  0.500  0.000
Ga  0.500  0.500  0.500
Rh  0.000  0.000  0.500
Rh  0.000  0.500  0.000
Rh  0.500  0.000  0.000
O  0.232  0.232  0.232
O  0.237  0.728  0.728
O  0.272  0.272  0.763
O  0.272  0.763  0.272
O  0.728  0.237  0.728
O  0.728  0.728  0.237
O  0.763  0.272  0.272
O  0.768  0.768  0.768

Formation energy (no corrections) (eV per atom): -1.220
Symmetry: R-3m
Energy (eV/atom): -5.800
M_tot (μB per cell): 0.961


No. 7
The following is a PBE calculation of NaGaRuO4 after structural relaxation, from the Alexandria database.

a b c (Å): 5.512 5.246 7.114
angles (deg): 90.00 110.83 90.00
Fractional coordinates of all 14 atoms:
Na  0.112  0.250  0.154
Na  0.888  0.750  0.846
Ga  0.244  0.250  0.677
Ga  0.756  0.750  0.323
Ru  0.301  0.750  0.453
Ru  0.699  0.250  0.547
O  0.009  0.250  0.811
O  0.038  0.750  0.575
O  0.494  0.506  0.322
O  0.494  0.994  0.322
O  0.506  0.006  0.678
O  0.506  0.494  0.678
O  0.962  0.250  0.425
O  0.991  0.750  0.189

Formation energy (no corrections) (eV per atom): -1.172
Symmetry: P2_1/m
Energy (eV/atom): -5.951
M_tot (μB per cell): 0.000


No. 8
The following is a PBE calculation of NaGa2SO6 after structural relaxation, from the Alexandria database.

a b c (Å): 6.847 6.847 5.898
angles (deg): 104.12 104.12 98.20
Fractional coordinates of all 20 atoms:
Na  0.097  0.903  0.750
Na  0.903  0.097  0.250
Ga  0.284  0.456  0.849
Ga  0.456  0.284  0.349
Ga  0.544  0.716  0.651
Ga  0.716  0.544  0.151
S  0.201  0.799  0.250
S  0.799  0.201  0.750
O  0.012  0.228  0.705
O  0.133  0.655  0.950
O  0.228  0.012  0.205
O  0.317  0.435  0.538
O  0.345  0.867  0.550
O  0.435  0.317  0.038
O  0.565  0.683  0.962
O  0.655  0.133  0.450
O  0.683  0.565  0.462
O  0.772  0.988  0.795
O  0.867  0.345  0.050
O  0.988  0.772  0.295

Formation energy (no corrections) (eV per atom): -1.440
Symmetry: C2/c
Energy (eV/atom): -5.565
M_tot (μB per cell): 2.000


No. 9
The following is a PBE calculation of Na2GaSbO4 after structural relaxation, from the Alexandria database.

a b c (Å): 5.297 5.297 9.041
angles (deg): 90.00 90.00 90.00
Fractional coordinates of all 16 atoms:
Na  0.000  0.000  0.000
Na  0.000  0.500  0.250
Na  0.500  0.000  0.750
Na  0.500  0.500  0.500
Ga  0.000  0.500  0.750
Ga  0.500  0.000  0.250
Sb  0.000  0.000  0.500
Sb  0.500  0.500  0.000
O  0.194  0.275  0.634
O  0.225  0.694  0.866
O  0.275  0.806  0.366
O  0.306  0.225  0.134
O  0.694  0.775  0.134
O  0.725  0.194  0.366
O  0.775  0.306  0.866
O  0.806  0.725  0.634

Formation energy (no corrections) (eV per atom): -1.531
Symmetry: I-4
Energy (eV/atom): -5.234
M_tot (μB per cell): 0.000


No. 10
The following is a PBE calculation of NaGaSbO5 after structural relaxation, from the Alexandria database.

a b c (Å): 5.777 5.777 7.607
angles (deg): 105.62 105.62 105.31
Fractional coordinates of all 16 atoms:
Na  0.173  0.827  0.750
Na  0.827  0.173  0.250
Ga  0.191  0.809  0.250
Ga  0.809  0.191  0.750
Sb  0.500  0.500  0.000
Sb  0.500  0.500  0.500
O  0.144  0.249  0.908
O  0.205  0.607  0.401
O  0.249  0.144  0.408
O  0.393  0.795  0.099
O  0.429  0.571  0.750
O  0.571  0.429  0.250
O  0.607  0.205  0.901
O  0.751  0.856  0.592
O  0.795  0.393  0.599
O  0.856  0.751  0.092

Formation energy (no corrections) (eV per atom): -1.438
Symmetry: C2/c
Energy (eV/atom): -5.596
M_tot (μB per cell): 2.084


No. 11
The following is a PBE calculation of NaGa2SbO6 after structural relaxation, from the Alexandria database.

a b c (Å): 7.304 7.304 6.100
angles (deg): 105.68 105.68 101.45
Fractional coordinates of all 20 atoms:
Na  0.101  0.899  0.750
Na  0.899  0.101  0.250
Ga  0.295  0.440  0.827
Ga  0.440  0.295  0.327
Ga  0.560  0.705  0.673
Ga  0.705  0.560  0.173
Sb  0.194  0.806  0.250
Sb  0.806  0.194  0.750
O  0.048  0.217  0.682
O  0.155  0.625  0.939
O  0.217  0.048  0.182
O  0.327  0.441  0.530
O  0.375  0.845  0.561
O  0.441  0.327  0.030
O  0.559  0.673  0.970
O  0.625  0.155  0.439
O  0.673  0.559  0.470
O  0.783  0.952  0.818
O  0.845  0.375  0.061
O  0.952  0.783  0.318

Formation energy (no corrections) (eV per atom): -1.590
Symmetry: C2/c
Energy (eV/atom): -5.715
M_tot (μB per cell): 0.017


No. 12
The following is a PBE calculation of Na3Sc3GaO8 after structural relaxation, from the Alexandria database.

a b c (Å): 6.591 6.591 6.591
angles (deg): 57.14 57.14 57.14
Fractional coordinates of all 15 atoms:
Na  0.000  0.500  0.500
Na  0.500  0.000  0.500
Na  0.500  0.500  0.000
Sc  0.000  0.000  0.500
Sc  0.000  0.500  0.000
Sc  0.500  0.000  0.000
Ga  0.500  0.500  0.500
O  0.234  0.234  0.234
O  0.245  0.724  0.724
O  0.276  0.276  0.755
O  0.276  0.755  0.276
O  0.724  0.245  0.724
O  0.724  0.724  0.245
O  0.755  0.276  0.276
O  0.766  0.766  0.766

Formation energy (no corrections) (eV per atom): -2.494
Symmetry: R-3m
Energy (eV/atom): -6.870
M_tot (μB per cell): 1.096


No. 13
The following is a PBE calculation of NaGa2SeO6 after structural relaxation, from the Alexandria database.

a b c (Å): 6.972 6.972 6.042
angles (deg): 104.39 104.39 98.45
Fractional coordinates of all 20 atoms:
Na  0.098  0.902  0.750
Na  0.902  0.098  0.250
Ga  0.286  0.447  0.836
Ga  0.447  0.286  0.336
Ga  0.553  0.714  0.664
Ga  0.714  0.553  0.164
Se  0.205  0.795  0.250
Se  0.795  0.205  0.750
O  0.029  0.221  0.697
O  0.132  0.642  0.929
O  0.221  0.029  0.197
O  0.324  0.439  0.537
O  0.358  0.868  0.571
O  0.439  0.324  0.037
O  0.561  0.676  0.963
O  0.642  0.132  0.429
O  0.676  0.561  0.463
O  0.779  0.971  0.803
O  0.868  0.358  0.071
O  0.971  0.779  0.303

Formation energy (no corrections) (eV per atom): -1.349
Symmetry: C2/c
Energy (eV/atom): -5.410
M_tot (μB per cell): 2.001


No. 14
The following is a PBE calculation of NaGaSe2O6 after structural relaxation, from the Alexandria database.

a b c (Å): 6.518 6.518 6.518
angles (deg): 46.62 46.62 46.62
Fractional coordinates of all 10 atoms:
Na  0.000  0.000  0.000
Ga  0.500  0.500  0.500
Se  0.271  0.271  0.271
Se  0.729  0.729  0.729
O  0.096  0.469  0.730
O  0.270  0.904  0.531
O  0.469  0.730  0.096
O  0.531  0.270  0.904
O  0.730  0.096  0.469
O  0.904  0.531  0.270

Relative energy among the computed polymorphs (meV per atom): 111
Formation energy (no corrections) (eV per atom): -1.135
Symmetry: R-3
Energy (eV/atom): -5.242
M_tot (μB per cell): 0.000


No. 15
The following is a PBE calculation of NaGa3Se4O12 after structural relaxation, from the Alexandria database.

a b c (Å): 6.656 6.656 6.656
angles (deg): 105.14 105.14 105.14
Fractional coordinates of all 20 atoms:
Na  0.000  0.000  0.000
Ga  0.000  0.566  0.434
Ga  0.434  0.000  0.566
Ga  0.566  0.434  0.000
Se  0.097  0.500  0.903
Se  0.500  0.500  0.500
Se  0.500  0.903  0.097
Se  0.903  0.097  0.500
O  0.056  0.284  0.378
O  0.066  0.934  0.500
O  0.284  0.378  0.056
O  0.308  0.692  0.500
O  0.378  0.056  0.284
O  0.500  0.066  0.934
O  0.500  0.308  0.692
O  0.622  0.716  0.944
O  0.692  0.500  0.308
O  0.716  0.944  0.622
O  0.934  0.500  0.066
O  0.944  0.622  0.716

Formation energy (no corrections) (eV per atom): -0.910
Symmetry: R32
Energy (eV/atom): -5.102
M_tot (μB per cell): 0.000


No. 16
The following is a PBE calculation of NaGaSe2O6 after structural relaxation, from the Alexandria database.

a b c (Å): 12.655 5.405 8.021
angles (deg): 90.00 90.00 90.00
Fractional coordinates of all 40 atoms:
Na  0.110  0.250  0.015
Na  0.390  0.750  0.515
Na  0.610  0.250  0.485
Na  0.890  0.750  0.985
Ga  0.104  0.750  0.699
Ga  0.396  0.250  0.199
Ga  0.604  0.750  0.801
Ga  0.896  0.250  0.301
Se  0.065  0.750  0.291
Se  0.207  0.250  0.492
Se  0.293  0.750  0.992
Se  0.435  0.250  0.791
Se  0.565  0.750  0.209
Se  0.707  0.250  0.008
Se  0.793  0.750  0.508
Se  0.935  0.250  0.709
O  0.004  0.006  0.798
O  0.004  0.494  0.798
O  0.020  0.750  0.493
O  0.162  0.750  0.931
O  0.215  0.501  0.626
O  0.215  0.999  0.626
O  0.285  0.001  0.126
O  0.285  0.499  0.126
O  0.338  0.250  0.431
O  0.480  0.250  0.993
O  0.496  0.506  0.298
O  0.496  0.994  0.298
O  0.504  0.006  0.702
O  0.504  0.494  0.702
O  0.520  0.750  0.007
O  0.662  0.750  0.569
O  0.715  0.501  0.874
O  0.715  0.999  0.874
O  0.785  0.001  0.374
O  0.785  0.499  0.374
O  0.838  0.250  0.069
O  0.980  0.250  0.507
O  0.996  0.506  0.202
O  0.996  0.994  0.202

Relative energy among the computed polymorphs (meV per atom): 0
Formation energy (no corrections) (eV per atom): -1.246
Symmetry: Pnma
Energy (eV/atom): -5.353
M_tot (μB per cell): 0.000


No. 17
The following is a PBE calculation of NaGa2SiO6 after structural relaxation, from the Alexandria database.

a b c (Å): 7.252 7.252 5.814
angles (deg): 106.46 106.46 96.57
Fractional coordinates of all 20 atoms:
Na  0.108  0.892  0.750
Na  0.892  0.108  0.250
Ga  0.248  0.426  0.863
Ga  0.426  0.248  0.363
Ga  0.574  0.752  0.637
Ga  0.752  0.574  0.137
Si  0.183  0.817  0.250
Si  0.817  0.183  0.750
O  0.034  0.214  0.709
O  0.176  0.658  0.984
O  0.214  0.034  0.209
O  0.342  0.426  0.594
O  0.342  0.824  0.516
O  0.426  0.342  0.094
O  0.574  0.658  0.906
O  0.658  0.176  0.484
O  0.658  0.574  0.406
O  0.786  0.966  0.791
O  0.824  0.342  0.016
O  0.966  0.786  0.291

Formation energy (no corrections) (eV per atom): -1.956
Symmetry: C2/c
Energy (eV/atom): -6.211
M_tot (μB per cell): 1.829